Entry 1:
Here is a geometry-optimized Li7Ac3Cd4 structure from Alexandria via LeMat-Bulk. Energies are from PBE-GGA.

## Properties
space-group type: C2/m, No. 12
uncorrected energy: -2.26 eV per atom
size of the total moment: 0.00 μB/f.u.

a b c (Å): 5.1303 8.9783 8.9428
angles (deg): 67.34 73.33 73.40
Atoms (fractional coordinates):
1 Li 0.4967 0.8255 0.1811
2 Ac 0.0000 0.5000 0.5000
3 Cd 0.3459 0.5056 0.8026
4 Li 0.6602 0.1914 0.4882
5 Cd 0.8697 0.9222 0.3385
6 Ac 0.7167 0.7850 0.7816
7 Li 0.5033 0.1745 0.8189
8 Li 0.0000 0.0000 0.0000
9 Li 0.8653 0.3433 0.9260
10 Cd 0.6541 0.4944 0.1974
11 Li 0.3398 0.8086 0.5118
12 Cd 0.1303 0.0778 0.6615
13 Ac 0.2833 0.2150 0.2184
14 Li 0.1347 0.6567 0.0740


Entry 2:
Here is a geometry-optimized LiAc2Cd5 structure from Alexandria via LeMat-Bulk. Energies are from PBE-GGA.

## Properties
space-group type: I4/mmm, No. 139
energy relative to the lowest polymorph listed for this composition: 45 meV per atom
size of the total moment: 0.01 μB/f.u.

a b c (Å): 5.2810 5.2810 8.6794
angles (deg): 107.71 107.71 90.00
Atoms (fractional coordinates):
1 Cd 0.5000 0.5000 0.0000
2 Cd 0.3989 0.8989 0.7979
3 Li 0.0000 0.0000 0.0000
4 Cd 0.6011 0.1011 0.2021
5 Cd 0.1011 0.6011 0.2021
6 Ac 0.7440 0.7440 0.4879
7 Ac 0.2560 0.2560 0.5121
8 Cd 0.8989 0.3989 0.7979


Entry 3:
Here is a geometry-optimized Li2AcCd structure from Alexandria via LeMat-Bulk. Energies are from PBE-GGA.

## Properties
space-group type: Fm-3m, No. 225
energy relative to the lowest polymorph listed for this composition: 65 meV per atom
size of the total moment: 0.00 μB/f.u.

a b c (Å): 5.2426 5.2426 5.2426
angles (deg): 60.00 60.00 60.00
Atoms (fractional coordinates):
1 Ac 0.0000 0.0000 0.0000
2 Cd 0.5000 0.5000 0.5000
3 Li 0.2500 0.2500 0.2500
4 Li 0.7500 0.7500 0.7500


Entry 4:
Here is a geometry-optimized Li12Ac2Cd5 structure from Alexandria via LeMat-Bulk. Energies are from PBE-GGA.

## Properties
space-group type: R-3m, No. 166
uncorrected energy: -2.00 eV per atom
size of the total moment: 0.29 μB/f.u.

a b c (Å): 7.5601 7.5601 7.5601
angles (deg): 84.08 84.08 84.08
Atoms (fractional coordinates):
1 Ac 0.6527 0.6527 0.6527
2 Cd 0.8971 0.8971 0.8971
3 Li 0.0000 0.7215 0.2785
4 Li 0.3462 0.3462 0.8727
5 Li 0.2785 0.0000 0.7215
6 Li 0.2785 0.7215 0.0000
7 Li 0.8727 0.3462 0.3462
8 Li 0.3462 0.8727 0.3462
9 Li 0.1273 0.6538 0.6538
10 Cd 0.0000 0.5000 0.0000
11 Li 0.7215 0.0000 0.2785
12 Li 0.0000 0.2785 0.7215
13 Li 0.6538 0.1273 0.6538
14 Cd 0.5000 0.0000 0.0000
15 Ac 0.3473 0.3473 0.3473
16 Cd 0.0000 0.0000 0.5000
17 Cd 0.1029 0.1029 0.1029
18 Li 0.6538 0.6538 0.1273
19 Li 0.7215 0.2785 0.0000


size of the total moment of number 1 (Li7Ac3Cd4)? 0.00 μB/f.u.